1.
# AcPuPd2

Crystalline AcPuPd2 at its relaxed geometry (PBE, Alexandria).

Unit cell a=4.8852 b=4.8852 c=9.9481 alpha=90.00 beta=90.00 gamma=120.00
Space group P6_3/mmc (No. 194)
One atom of each set of equivalent atoms:
Ac  0.3333  0.6667  0.2500 x2
Pu  0.0000  0.0000  0.0000 x2
Pd  0.3333  0.6667  0.5945 x4

Properties
For the formation energy, the calculation gives -0.4880 eV per atom. The calculation puts the relative energy among the computed polymorphs at 88 meV per atom.

---

2.
# Ba2Ge7Pd12

Crystalline Ba2Ge7Pd12 at its relaxed geometry (PBE, Alexandria).

Unit cell a=10.4498 b=10.4498 c=3.9966 alpha=90.00 beta=90.00 gamma=120.00
Space group P-6 (No. 174)
One atom of each set of equivalent atoms:
Ba  0.0000  0.0000  0.0000 x1
Ba  0.3333  0.6667  0.5000 x1
Ge  0.0606  0.4480  0.0000 x3
Ge  0.2700  0.2291  0.5000 x3
Ge  0.6667  0.3333  0.0000 x1
Pd  0.0455  0.2845  0.5000 x3
Pd  0.1045  0.7155  0.0000 x3
Pd  0.3965  0.1846  0.0000 x3
Pd  0.5420  0.4304  0.5000 x3

Properties
For the formation energy, the calculation gives -0.5828 eV per atom.

---

3.
# Cr2ReRh2

Crystalline Cr2ReRh2 at its relaxed geometry (PBE, Alexandria).

Unit cell a=7.115 b=7.115 c=2.675 alpha=90.00 beta=90.00 gamma=90.00
Space group P4/mbm (No. 127)
One atom of each set of equivalent atoms:
Cr  0.115  0.385  0.000 x4
Re  0.000  0.000  0.000 x2
Rh  0.178  0.678  0.500 x4

Properties
For the formation energy, the calculation gives 0.1447 eV per atom. The calculation puts the relative energy among the computed polymorphs at 0 meV per atom.

---

4.
# CuH2S6

Crystalline CuH2S6 at its relaxed geometry (PBE, Alexandria).

Unit cell a=5.159 b=6.537 c=7.557 alpha=66.05 beta=73.71 gamma=88.74
Space group P-1 (No. 2)
One atom of each set of equivalent atoms:
Cu  0.000  0.000  0.000 x1
H  0.470  0.980  0.968 x2
S  0.133  0.965  0.717 x2
S  0.231  0.296  0.523 x2
S  0.361  0.329  0.245 x2

Properties
The total energy comes out at -3.802 eV/atom.

---

5.
# Tb2Sc8Sn

Crystalline Tb2Sc8Sn at its relaxed geometry (PBE, Alexandria).

Unit cell a=16.813 b=6.015 c=5.637 alpha=90.00 beta=95.82 gamma=90.00
Space group C2/m (No. 12)
One atom of each set of equivalent atoms:
Tb  0.216  0.000  0.498 x4
Sc  0.019  0.000  0.259 x4
Sc  0.090  0.500  0.492 x4
Sc  0.156  0.256  0.987 x8
Sn  0.000  0.500  0.000 x2

Properties
For the formation energy, the calculation gives -0.0065 eV per atom.

---

6.
# Zr5AlCu4

Crystalline Zr5AlCu4 at its relaxed geometry (PBE, Alexandria).

Unit cell a=3.162 b=3.162 c=17.901 alpha=90.00 beta=90.00 gamma=90.00
Space group P4/mmm (No. 123)
One atom of each set of equivalent atoms:
Zr  0.000  0.000  0.000 x1
Zr  0.000  0.000  0.194 x2
Zr  0.000  0.000  0.390 x2
Al  0.500  0.500  0.500 x1
Cu  0.500  0.500  0.097 x2
Cu  0.500  0.500  0.289 x2

Properties
For the formation energy, the calculation gives -0.1846 eV per atom.